Density functional theory data (PBEsol) for an optimized crystal structure of SbTe2BrN.

Summary:
Space group: P4/mmm, No. 123
Energy relative to the elements, uncorrected in eV per atom: 0.862

a = 3.8445 Å, b = 5.8824 Å, c = 5.8824 Å
α = 90.00°, β = 90.00°, γ = 90.00°
Closest atoms and distances in Å follow each position.
Fractional coordinates of all 5 atoms:
1 Sb 0.0000 0.0000 0.0000  2 N 1.92
2 Te 0.0000 0.0000 0.5000  2 Sb 2.94
3 Te 0.0000 0.5000 0.0000  2 Sb 2.94
4 Br 0.5000 0.5000 0.5000  8 Te 3.51, 2 Br 3.84
5 N 0.5000 0.0000 0.0000  2 Sb 1.92